[1]
Below is a relaxed HfZrHg crystal, with properties calculated at the PBE level.

The structure in extended XYZ format:
```
6
Lattice="3.211 0.000 0.000 0.000 3.189 0.349 0.000 1.783 13.333" Properties=species:S:1:pos:R:3 pbc="T T T"
Hf 2.408 2.696 12.347
Hf 0.803 2.275 1.335
Zr 2.408 3.629 3.707
Zr 0.803 1.343 9.975
Hg 2.408 3.168 8.032
Hg 0.803 1.804 5.651
```

Results
SG: P2_1/m (11)
Uncorrected energy: -0.232 Ha/atom
ΔH_f (0 K): -0.058 eV per atom
N(E_F): 5.950 states/eV/cell
Energy above the most stable polymorph in this dataset: 7.3 kJ per mole of atoms

[2]
Below is a relaxed CoSiW2 crystal, with properties calculated at the PBE level.

The structure in extended XYZ format:
```
4
Lattice="2.707 0.000 0.000 0.000 3.948 0.000 0.000 0.000 5.182" Properties=species:S:1:pos:R:3 pbc="T T T"
Co 1.353 1.974 1.295
Si 1.353 1.974 3.886
W 0.000 0.000 0.006
W 0.000 0.000 2.585
```

Results
SG: Pmmm (47)
Uncorrected energy: -0.351 Ha/atom
Formation energy (no corrections): 5.10 kJ per mole of atoms
N(E_F): 2.202 states/eV/cell

[3]
Below is a relaxed CeDyPO2 crystal, with properties calculated at the PBE level.

The structure in extended XYZ format:
```
10
Lattice="-1.155 -1.228 -3.324 5.750 -2.459 0.999 -3.148 -6.014 3.315" Properties=species:S:1:pos:R:3 pbc="T T T"
Ce -0.562 -6.536 0.519
Ce 2.008 -3.164 0.470
Dy 0.000 0.000 0.000
Dy -1.574 -3.007 1.657
P 2.225 -7.235 1.898
P -0.778 -2.466 -0.909
O -1.058 -6.650 2.824
O 2.505 -3.050 -1.834
O 0.033 -4.566 1.675
O 1.414 -5.134 -0.685
```

Results
SG: Cmcm (63)
Uncorrected energy: -0.284 Ha/atom
Formation energy (no corrections): -247.81 kJ per mole of atoms
N(E_F): 3.696 states/eV/cell

[4]
Below is a relaxed Mg2Tl crystal, with properties calculated at the PBE level.

The structure in extended XYZ format:
```
6
Lattice="3.520 -3.452 3.148 1.675 5.603 0.102 -5.367 -0.319 2.303" Properties=species:S:1:pos:R:3 pbc="T T T"
Mg -1.546 1.170 1.697
Mg 1.373 0.662 3.855
Mg -1.825 -1.640 4.002
Mg 1.652 3.472 1.550
Tl 3.896 1.613 2.437
Tl 1.299 0.538 0.812
```

Results
SG: I4/mcm (140)
Uncorrected energy: -0.065 Ha/atom
ΔH_f (0 K): 0.077 eV per atom
N(E_F): 3.291 states/eV/cell